A plane-wave DFT calculation with SCAN was carried out for Bi2PdClO at its PBEsol-relaxed geometry.

a b c (Å): 5.233 5.233 4.619
angles (deg): 90.00 90.00 90.00
Space group P4/mmm (No. 123)
Symmetry-distinct sites (fractional):
Bi: 0.000 0.500 0.000 (multiplicity 2)
Pd: 0.000 0.000 0.000 (multiplicity 1)
Cl: 0.000 0.000 0.500 (multiplicity 1)
O: 0.500 0.500 0.500 (multiplicity 1)

Calculated values
total magnetic moment: 0.00 Bohr magnetons per cell
uncorrected formation energy: 0.5229 eV per atom
ρ: 7.56 g/cm³
DOS at the Fermi energy: 0.65 states/eV per atom